Record 1
Computed, not measured: crystalline Fe2OsRh at its relaxed geometry at the GGA-PBE level of DFT.

POSCAR file:
```
Fe2OsRh
1.0
4.520 -0.004 0.000
-1.393 4.299 0.000
0.000 0.000 2.655
Rh Fe Os
1 2 1
Cartesian
-0.697 2.150 1.327
1.563 2.148 0.000
0.000 0.000 0.000
2.260 -0.002 1.327
```

Output
SG: No. 65
Formation enthalpy at 0 K (eV/atom): 0.10
N(E_F) (states/eV/f.u.): 4.576
E above lowest polymorph (meV per atom): 19.8
Total magnetization (μB per atom): 1.0182

---

Record 2
Computed, not measured: crystalline Al2AgAu at its relaxed geometry at the GGA-PBE level of DFT.

POSCAR file:
```
Al2AgAu
1.0
5.471 0.030 -0.037
2.136 5.037 0.037
-2.895 -3.897 2.523
Al Au Ag
2 1 1
Cartesian
3.765 2.508 0.000
0.038 0.025 0.000
1.522 1.837 1.280
3.190 -0.667 1.243
```

Output
SG: No. 71
Formation enthalpy at 0 K (eV/atom): -0.07
N(E_F) (states/eV/f.u.): 1.289
Total magnetization (μB per atom): 0.0000

---

Record 3
Computed, not measured: crystalline Be3Re4 at its relaxed geometry at the GGA-PBE level of DFT.

POSCAR file:
```
Be3Re4
1.0
-0.380 0.838 4.399
-2.522 -3.195 -1.905
3.465 -3.288 0.926
Re Be
4 3
Cartesian
2.621 -2.486 0.700
0.639 -2.150 2.761
-0.075 -3.494 0.659
0.845 -0.801 0.226
-0.190 0.419 2.200
-1.451 -1.178 1.247
-1.261 -1.598 -0.952
```

Output
SG: No. 191
Formation enthalpy at 0 K (eV/atom): -0.17
N(E_F) (states/eV/f.u.): 3.862
E above lowest polymorph (meV per atom): 0.0
Total magnetization (μB per atom): 0.0000

---

Record 4
Computed, not measured: crystalline Sm3Hf at its relaxed geometry at the GGA-PBE level of DFT.

POSCAR file:
```
Sm3Hf
1.0
6.018 0.000 0.000
1.957 5.690 0.000
-3.987 -2.845 3.495
Sm Hf
3 1
Cartesian
3.009 0.000 1.748
0.979 2.845 1.748
3.987 2.845 0.000
0.000 0.000 0.000
```

Output
SG: No. 139
Formation enthalpy at 0 K (eV/atom): 0.17
N(E_F) (states/eV/f.u.): 4.784
E above lowest polymorph (meV per atom): 2.6
Total magnetization (μB per atom): 0.0000

---

Record 5
Computed, not measured: crystalline PmNdHoTh2 at its relaxed geometry at the GGA-PBE level of DFT.

POSCAR file:
```
PmNdHoTh2
1.0
-0.162 5.929 3.158
-4.053 2.428 -4.767
-4.244 -3.583 6.508
Pm Ho Th Nd
2 2 4 2
Cartesian
-6.438 1.045 1.282
-2.021 3.729 3.618
-4.499 2.793 5.248
-3.960 1.981 -0.348
-3.031 1.816 -3.564
-1.023 0.613 -1.203
-3.112 4.780 -1.985
-1.104 3.577 0.376
-3.265 0.264 2.911
-5.194 4.510 1.989
```

Output
SG: No. 63
Formation enthalpy at 0 K (eV/atom): 0.37
N(E_F) (states/eV/f.u.): 7.756
Total magnetization (μB per atom): 0.0000

---

Record 6
Computed, not measured: crystalline CePrHo2 at its relaxed geometry at the GGA-PBE level of DFT.

POSCAR file:
```
CePrHo2
1.0
3.461 0.000 0.000
1.730 2.997 0.000
1.730 0.999 12.294
Pr Ho Ce
1 2 1
Cartesian
0.000 0.000 0.000
5.191 2.997 3.393
1.730 0.999 8.901
3.461 1.998 6.147
```

Output
SG: No. 166
Formation enthalpy at 0 K (eV/atom): 0.17
N(E_F) (states/eV/f.u.): 7.881
E above lowest polymorph (meV per atom): 113.2
Total magnetization (μB per atom): 0.0250

---

Record 7
Computed, not measured: crystalline Al2Cu2As at its relaxed geometry at the GGA-PBE level of DFT.

POSCAR file:
```
Al2Cu2As
1.0
3.490 0.000 0.000
0.000 3.490 0.000
1.745 1.745 6.486
As Cu Al
1 2 2
Cartesian
0.000 0.000 0.000
3.490 1.745 3.243
1.745 3.490 3.243
1.745 1.745 1.321
3.490 3.490 5.165
```

Output
SG: No. 139
Formation enthalpy at 0 K (eV/atom): 0.05
N(E_F) (states/eV/f.u.): 2.044
E above lowest polymorph (meV per atom): 66.4
Total magnetization (μB per atom): 0.0000

---

Record 8
Computed, not measured: crystalline LaY2Ni at its relaxed geometry at the GGA-PBE level of DFT.

POSCAR file:
```
LaY2Ni
1.0
-0.869 0.909 -3.595
-1.153 -5.072 -1.003
-5.012 0.857 1.428
Y La Ni
2 1 1
Cartesian
0.000 0.000 0.000
-1.011 -2.082 -2.299
-2.941 0.883 -1.084
-3.083 -2.108 0.213
```

Output
SG: No. 47
Formation enthalpy at 0 K (eV/atom): 0.15
N(E_F) (states/eV/f.u.): 4.371
E above lowest polymorph (meV per atom): 363.9
Total magnetization (μB per atom): 0.0000

---

Record 9
Computed, not measured: crystalline RbAl2HgGe at its relaxed geometry at the GGA-PBE level of DFT.

POSCAR file:
```
RbAl2HgGe
1.0
-3.301 4.111 2.828
-3.045 1.027 -5.047
-3.912 -4.179 1.509
Hg Al Rb Ge
1 2 1 1
Cartesian
-1.956 -2.090 0.755
-1.522 0.514 -2.523
-1.650 2.056 1.414
0.000 0.000 0.000
-5.129 0.480 -0.355
```

Output
SG: No. 123
Formation enthalpy at 0 K (eV/atom): 1.51
N(E_F) (states/eV/f.u.): 4.900
Total magnetization (μB per atom): 0.0000

---

Record 10
Computed, not measured: crystalline Sm6Bi2Sb3Te at its relaxed geometry at the GGA-PBE level of DFT.

POSCAR file:
```
Sm6Bi2Sb3Te
1.0
4.496 0.000 0.000
0.000 8.995 0.323
-2.248 -2.590 9.445
Bi Sb Sm Te
2 3 6 1
Cartesian
2.248 4.279 6.521
0.000 2.126 3.247
2.248 -0.231 6.358
2.248 4.498 0.162
0.000 6.636 3.411
2.248 4.418 3.312
2.248 -0.155 3.205
0.000 6.560 6.564
0.000 6.688 0.270
2.248 -0.283 9.498
0.000 1.987 6.456
2.248 0.000 0.000
```

Output
SG: No. 12
N(E_F) (states/eV/f.u.): 2.017
Energy relative to the elements, uncorrected (meV/atom): -1155
Total magnetization (μB per atom): 0.0000

---

Record 11
Computed, not measured: crystalline VZnGe2Pd at its relaxed geometry at the GGA-PBE level of DFT.

POSCAR file:
```
VZnGe2Pd
1.0
-2.551 2.066 3.303
-2.615 -3.955 0.455
2.940 -1.570 3.252
Zn V Ge Pd
1 1 2 1
Cartesian
-1.308 -1.977 0.227
0.000 0.000 0.000
1.470 -0.785 1.626
-1.275 1.033 1.652
-1.113 -1.729 3.505
```

Output
SG: No. 123
Formation enthalpy at 0 K (eV/atom): 0.60
N(E_F) (states/eV/f.u.): 5.204
Total magnetization (μB per atom): 0.0001

---

Record 12
Computed, not measured: crystalline Na3Pa2IrN6 at its relaxed geometry at the GGA-PBE level of DFT.

POSCAR file:
```
Na3Pa2IrN6
1.0
5.846 -0.008 0.014
-2.928 5.060 0.014
-0.960 -1.663 5.728
Na N Pa Ir
3 6 2 1
Cartesian
4.018 -0.060 2.878
0.979 1.695 2.878
-2.060 3.450 2.878
1.981 3.430 1.116
-0.023 -0.040 4.639
2.888 1.793 4.652
1.848 -0.008 1.104
-0.930 1.597 1.104
0.110 3.398 4.652
-0.007 3.373 0.014
2.925 1.680 0.014
0.000 0.000 0.000
```

Output
SG: No. 12
N(E_F) (states/eV/f.u.): 8.110
Energy relative to the elements, uncorrected (meV/atom): -635
Total magnetization (μB per atom): 0.0000

---

Record 13
Computed, not measured: crystalline Ho2AlPd8 at its relaxed geometry at the GGA-PBE level of DFT.

POSCAR file:
```
Ho2AlPd8
1.0
-1.944 4.096 0.668
-5.388 -2.474 -0.513
3.540 -2.002 6.856
Pd Al Ho
8 1 2
Cartesian
-0.046 -0.425 2.471
-4.046 -1.858 -0.383
-2.409 1.089 2.035
0.255 1.479 7.394
-4.993 -0.099 1.796
-1.382 -1.468 4.975
-3.746 0.046 4.539
1.201 -0.280 5.214
-0.972 2.048 0.334
-2.740 -1.689 2.384
-1.052 1.310 4.626
```

Output
SG: No. 12
Formation enthalpy at 0 K (eV/atom): -0.73
N(E_F) (states/eV/f.u.): 3.917
Total magnetization (μB per atom): 0.0000

---

Record 14
Computed, not measured: crystalline TbPr2Cd5 at its relaxed geometry at the GGA-PBE level of DFT.

POSCAR file:
```
TbPr2Cd5
1.0
5.188 0.000 0.000
0.000 5.188 0.000
-2.594 -2.594 7.805
Cd Tb Pr
5 1 2
Cartesian
2.594 2.594 0.000
2.594 0.000 1.771
0.000 2.594 6.034
2.594 0.000 6.034
0.000 2.594 1.771
0.000 0.000 0.000
0.000 0.000 4.103
2.594 2.594 3.701
```

Output
SG: No. 139
Formation enthalpy at 0 K (eV/atom): -0.30
N(E_F) (states/eV/f.u.): 5.599
Total magnetization (μB per atom): 0.0323

---

Record 15
Computed, not measured: crystalline HfCuMo3 at its relaxed geometry at the GGA-PBE level of DFT.

POSCAR file:
```
HfCuMo3
1.0
-0.480 -4.231 -1.602
0.344 -1.641 4.229
-4.511 0.325 0.493
Mo Hf Cu
3 1 1
Cartesian
0.172 -0.820 2.115
-0.240 -2.115 -0.801
-2.255 0.162 0.247
-2.323 -2.773 1.560
0.000 0.000 0.000
```

Output
SG: No. 221
Formation enthalpy at 0 K (eV/atom): 1.29
N(E_F) (states/eV/f.u.): 10.179
E above lowest polymorph (meV per atom): 0.0
Total magnetization (μB per atom): 0.0000

---

Record 16
Computed, not measured: crystalline AgPCl at its relaxed geometry at the GGA-PBE level of DFT.

POSCAR file:
```
AgPCl
1.0
-4.701 -3.882 -0.725
-0.253 -6.093 0.709
1.834 5.302 2.492
Ag Cl P
1 1 1
Cartesian
-0.396 -0.797 -0.001
-1.810 -3.645 -0.006
-2.747 -5.532 -0.009
```

Output
SG: No. 107
N(E_F) (states/eV/f.u.): 0.590
Energy relative to the elements, uncorrected (meV/atom): -7
E above lowest polymorph (meV per atom): 0.0
Total magnetization (μB per atom): 0.0000

---

Record 17
Computed, not measured: crystalline CuAgPS2 at its relaxed geometry at the GGA-PBE level of DFT.

POSCAR file:
```
CuAgPS2
1.0
-0.468 -0.760 -4.626
-4.129 -1.222 0.619
-1.407 4.458 -0.590
Cu S P Ag
1 2 1 1
Cartesian
0.000 0.000 0.000
-0.234 -0.380 -2.313
-0.704 2.229 -0.295
-2.065 -0.611 0.309
-3.002 1.238 -2.299
```

Output
SG: No. 123
N(E_F) (states/eV/f.u.): 4.184
Energy relative to the elements, uncorrected (meV/atom): 714
E above lowest polymorph (meV per atom): 0.0
Total magnetization (μB per atom): 0.0000

---

Record 18
Computed, not measured: crystalline As2IrPt at its relaxed geometry at the GGA-PBE level of DFT.

POSCAR file:
```
As2IrPt
1.0
-4.626 4.977 -1.680
-6.578 1.641 -1.745
-5.892 3.414 1.621
Ir Pt As
1 1 2
Cartesian
-8.595 5.043 -0.907
-12.815 7.520 -1.352
-0.634 0.372 -0.067
-3.600 2.112 -0.380
```

Output
SG: No. 160
Formation enthalpy at 0 K (eV/atom): -0.07
N(E_F) (states/eV/f.u.): 1.630
E above lowest polymorph (meV per atom): 15.2
Total magnetization (μB per atom): 0.0000

---

Record 19
Computed, not measured: crystalline Dy2YHo6 at its relaxed geometry at the GGA-PBE level of DFT.

POSCAR file:
```
Dy2YHo6
1.0
6.917 0.000 0.000
3.459 5.991 0.000
3.459 1.997 7.604
Dy Ho Y
2 6 1
Cartesian
10.376 5.991 5.758
6.917 3.994 1.936
5.221 3.013 5.074
8.615 3.015 5.074
6.916 5.954 5.074
1.697 0.981 2.515
3.460 4.030 2.515
5.219 0.979 2.515
6.917 3.994 7.586
```

Output
SG: No. 160
Formation enthalpy at 0 K (eV/atom): 0.40
N(E_F) (states/eV/f.u.): 13.945
E above lowest polymorph (meV per atom): 377.4
Total magnetization (μB per atom): 0.0000

---

Record 20
Computed, not measured: crystalline AlH2I at its relaxed geometry at the GGA-PBE level of DFT.

POSCAR file:
```
AlH2I
1.0
-2.769 1.485 2.907
0.156 4.105 1.203
-3.106 2.697 -1.184
I Al H
1 1 2
Cartesian
-2.859 4.144 1.463
0.000 0.000 0.000
-4.289 6.216 2.194
-1.430 2.072 0.731
```

Output
SG: No. 225
N(E_F) (states/eV/f.u.): 0.653
E above lowest polymorph (meV per atom): 1038.5
Total magnetization (μB per atom): 0.0000